# YTl2Ge, optimized geometry, DFT GGA-PBE
# Total moment   0.00 μB/f.u.
# Offset from the most stable computed form   0 meV per atom
# Formation energy from the elements   -109 meV/atom
data_YTl2Ge
_chemical_formula_sum 'Y4 Tl8 Ge4'
_space_group_name_H-M_alt 'I -4 2 d'
_space_group_IT_number 122
_space_group_name_Hall 'I -4 2bw'
_cell_length_a 8.394
_cell_length_b 8.394
_cell_length_c 6.084
_cell_angle_alpha 90.00
_cell_angle_beta 90.00
_cell_angle_gamma 90.00
loop_
_atom_site_label
_atom_site_fract_x
_atom_site_fract_y
_atom_site_fract_z
_atom_site_occupancy
Y1 0.000 0.000 0.000 1
Tl1 0.216 0.250 0.625 1
Ge1 0.000 0.000 0.500 1